# Li2Nd2Si4Pd PBE-GGA relaxed
data_Li2Nd2Si4Pd
_chemical_formula_sum 'Li4 Nd4 Si8 Pd2'
_cell_length_a 6.035
_cell_length_b 6.035
_cell_length_c 8.895
_cell_angle_alpha 90.00
_cell_angle_beta 90.00
_cell_angle_gamma 90.00
_symmetry_space_group_name_H-M 'I 4/m m m'
_symmetry_Int_Tables_number 139
_symmetry_space_group_name_Hall '-I 4 2'
loop_
_atom_site_label
_atom_site_fract_x
_atom_site_fract_y
_atom_site_fract_z
_atom_site_occupancy
Li1 0.000 0.000 0.215 1
Nd1 0.000 0.500 0.250 1
Si1 0.209 0.209 0.000 1
Pd1 0.000 0.000 0.500 1
# formation energy (no corrections) = -567 meV per atom
# total magnetization = 0.0 Bohr magnetons per cell
# DOS at the Fermi energy = 0.43 states/eV per atom
# mass density = 5.34 g cm⁻³